# PmMgCo2 PBE optimized geometry
# energy of formation = 0.149 eV per atom
# electronic total energy = -4.9899 eV per atom
data_PmMgCo2
_cell_length_a 4.481
_cell_length_b 4.481
_cell_length_c 3.371
_cell_angle_alpha 90.00
_cell_angle_beta 90.00
_cell_angle_gamma 90.00
_symmetry_space_group_name_H-M 'P 4/m m m'
_symmetry_Int_Tables_number 123
_symmetry_space_group_name_Hall '-P 4 2'
loop_
_atom_site_label
_atom_site_type_symbol
_atom_site_fract_x
_atom_site_fract_y
_atom_site_fract_z
Pm1 Pm 0.000 0.000 0.000
Mg1 Mg 0.500 0.500 0.000
Co1 Co 0.000 0.500 0.500